A relaxed structure of Cr3C. Source: Alexandria, functional PBE-GGA.

* formation energy from the elements: 0.120 eV per atom

abc: 2.7551 6.6173 4.4137
angles: 90.00 90.00 90.00
Space group Imm2 (No. 44)
Unique sites:
Cr: 0.0000 0.0000 0.0000 x2
Cr: 0.0000 0.1916 0.4628 x4
C: 0.0000 0.5000 0.1725 x2